The following is a GGA-PBE calculation of a relaxed Zr2Ta2Nb crystal, from Alexandria via LeMat-Bulk.

Cell lengths 7.2681, 7.2681, 4.0063 Å; angles 90.00, 90.00, 90.00 degrees
Closest atoms and distances in Å follow each position.
Element x y z (fractional)
Zr 0.1640 0.3360 0.0000  6 Ta 2.85-2.98
Zr 0.3360 0.8360 0.0000  6 Ta 2.85-2.98
Zr 0.6640 0.1640 0.0000  6 Ta 2.85-2.98
Zr 0.8360 0.6640 0.0000  6 Ta 2.85-2.98
Ta 0.1393 0.6393 0.5000  2 Nb 2.81, 6 Zr 2.85-2.98, 1 Ta 2.86
Ta 0.3607 0.1393 0.5000  2 Nb 2.81, 6 Zr 2.85-2.98, 1 Ta 2.86
Ta 0.6393 0.8607 0.5000  2 Nb 2.81, 6 Zr 2.85-2.98, 1 Ta 2.86
Ta 0.8607 0.3607 0.5000  2 Nb 2.81, 6 Zr 2.85-2.98, 1 Ta 2.86
Nb 0.0000 0.0000 0.5000  4 Ta 2.81
Nb 0.5000 0.5000 0.5000  4 Ta 2.81

Summary:
Energy relative to the elements ... 0.35 eV per atom

=====

The following is a GGA-PBE calculation of a relaxed ZrTa5 crystal, from Alexandria via LeMat-Bulk.

Cell lengths 7.5074, 7.5074, 3.3635 Å; angles 90.00, 90.00, 143.08 degrees
Closest atoms and distances in Å follow each position.
Element x y z (fractional)
Zr 0.0000 0.0000 0.0000  8 Ta 2.91-3.00
Ta 0.1748 0.8252 0.5000  6 Ta 2.83-2.92, 2 Zr 3.00
Ta 0.3344 0.6656 0.0000  8 Ta 2.83-2.92
Ta 0.5000 0.5000 0.5000  4 Ta 2.90, 4 Zr 2.91
Ta 0.6656 0.3344 0.0000  8 Ta 2.83-2.92
Ta 0.8252 0.1748 0.5000  6 Ta 2.83-2.92, 2 Zr 3.00

Summary:
Energy relative to the elements ... 0.08 eV per atom
Energy relative to the lowest polymorph listed for this composition ... 0.0 meV per atom

=====

The following is a GGA-PBE calculation of a relaxed LaPrSiPd crystal, from Alexandria via LeMat-Bulk.

Cell lengths 5.2193, 5.2193, 5.2193 Å; angles 60.00, 60.00, 60.00 degrees
Closest atoms and distances in Å follow each position.
Element x y z (fractional)
La 0.0000 0.0000 0.0000  4 Pd 3.20, 4 Si 3.20
Pr 0.5000 0.5000 0.5000  4 Pd 3.20, 4 Si 3.20
Si 0.2500 0.2500 0.2500  4 La 3.20, 4 Pr 3.20
Pd 0.7500 0.7500 0.7500  4 La 3.20, 4 Pr 3.20

Summary:
Formation energy without anion corrections ... -0.620 eV/atom
Energy relative to the lowest polymorph listed for this composition ... 133.2 meV per atom

=====

The following is a GGA-PBE calculation of a relaxed AsC2 crystal, from Alexandria via LeMat-Bulk.

Cell lengths 7.4081, 7.4081, 2.5165 Å; angles 90.00, 90.00, 120.00 degrees
Closest atoms and distances in Å follow each position.
Element x y z (fractional)
As 0.0000 0.0000 0.0000  3 C 2.01
As 0.3333 0.6667 0.5000  3 C 2.39, 2 As 2.52
As 0.6667 0.3333 0.5000  3 C 2.39, 2 As 2.52
C 0.0000 0.2716 0.0000  2 C 1.41
C 0.0000 0.3561 0.5000  2 C 1.41
C 0.2716 0.0000 0.0000  2 C 1.41
C 0.3561 0.0000 0.5000  2 C 1.41
C 0.6439 0.6439 0.5000  2 C 1.41
C 0.7284 0.7284 0.0000  2 C 1.41

Summary:
Energy relative to the elements ... 0.93 eV per atom
Energy relative to the lowest polymorph listed for this composition ... 583.1 meV per atom

=====

The following is a GGA-PBE calculation of a relaxed Li2BeH crystal, from Alexandria via LeMat-Bulk.

Cell lengths 4.1090, 4.1090, 4.1090 Å; angles 60.00, 60.00, 60.00 degrees
Closest atoms and distances in Å follow each position.
Element x y z (fractional)
Li 0.2500 0.2500 0.2500  4 H 2.52, 4 Be 2.52
Li 0.7500 0.7500 0.7500  4 H 2.52, 4 Be 2.52
Be 0.0000 0.0000 0.0000  8 Li 2.52
H 0.5000 0.5000 0.5000  8 Li 2.52

Summary:
Energy relative to the lowest polymorph listed for this composition ... 360.4 meV per atom

=====

The following is a GGA-PBE calculation of a relaxed PmTmGaPd crystal, from Alexandria via LeMat-Bulk.

Cell lengths 5.0581, 5.0581, 5.0581 Å; angles 60.00, 60.00, 60.00 degrees
Closest atoms and distances in Å follow each position.
Element x y z (fractional)
Pm 0.0000 0.0000 0.0000  4 Ga 3.10, 4 Pd 3.10
Tm 0.5000 0.5000 0.5000  4 Ga 3.10, 4 Pd 3.10
Ga 0.7500 0.7500 0.7500  4 Pm 3.10, 4 Tm 3.10
Pd 0.2500 0.2500 0.2500  4 Tm 3.10, 4 Pm 3.10

Summary:
Energy relative to the elements ... -0.67 eV per atom
Energy relative to the lowest polymorph listed for this composition ... 41.3 meV per atom

=====

The following is a GGA-PBE calculation of a relaxed Na4Tl2Pb5 crystal, from Alexandria via LeMat-Bulk.

Cell lengths 10.2863, 3.5599, 10.2922 Å; angles 90.00, 119.55, 90.00 degrees
Closest atoms and distances in Å follow each position.
Element x y z (fractional)
Na 0.0013 0.0000 0.2703  8 Pb 3.30-3.39, 2 Tl 3.43, 2 Na 3.56
Na 0.4850 0.0000 0.7507  6 Pb 3.28-3.67, 2 Tl 3.31, 2 Na 3.56
Na 0.5150 0.0000 0.2493  6 Pb 3.28-3.67, 2 Tl 3.31, 2 Na 3.56
Na 0.9987 0.0000 0.7297  8 Pb 3.30-3.39, 2 Tl 3.43, 2 Na 3.56
Tl 0.3207 0.5000 0.3652  2 Pb 3.25-3.57, 4 Na 3.31-3.43, 3 Tl 3.35-3.56
Tl 0.6793 0.5000 0.6348  2 Pb 3.25-3.57, 4 Na 3.31-3.43, 3 Tl 3.35-3.56
Pb 0.0000 0.5000 0.0000  4 Na 3.30, 4 Pb 3.56-3.57, 2 Tl 3.57
Pb 0.1769 0.5000 0.5847  2 Pb 3.17-3.22, 1 Tl 3.25, 6 Na 3.28-3.39
Pb 0.3143 0.5000 0.9414  5 Pb 3.22-3.57, 4 Na 3.32-3.39
Pb 0.6857 0.5000 0.0586  5 Pb 3.22-3.57, 4 Na 3.32-3.39
Pb 0.8231 0.5000 0.4153  2 Pb 3.17-3.22, 1 Tl 3.25, 6 Na 3.28-3.39

Summary:
Energy relative to the elements ... -0.07 eV per atom
Energy relative to the lowest polymorph listed for this composition ... 21.8 meV per atom

=====

The following is a GGA-PBE calculation of a relaxed Ti3SiI crystal, from Alexandria via LeMat-Bulk.

Cell lengths 4.9326, 4.9326, 4.9326 Å; angles 90.00, 90.00, 90.00 degrees
Closest atoms and distances in Å follow each position.
Element x y z (fractional)
Ti 0.0000 0.0000 0.5000  2 I 2.47
Ti 0.0000 0.5000 0.0000  2 I 2.47
Ti 0.5000 0.0000 0.0000  2 I 2.47
Si 0.5000 0.5000 0.5000  12 Ti 3.49
I 0.0000 0.0000 0.0000  6 Ti 2.47

Summary:
Formation energy without anion corrections ... 1.174 eV/atom
Energy relative to the lowest polymorph listed for this composition ... 763.1 meV per atom